An optimized crystal structure of Tb2GdMg3AlGa2. Source: OQMD via LeMat-Bulk, functional PBE.

Geometry as POSCAR:
```
Tb2GdMg3AlGa2
1.0
4.5177 0.0000 0.0000
0.0000 6.3349 3.6504
0.0000 -6.3349 3.6504
Tb Gd Mg Al Ga
2 1 3 1 2
direct
0.0000 0.2170 0.7830
0.0000 0.7830 0.2170
0.0000 0.6509 0.6509
0.5000 0.2168 0.4607
0.5000 0.4607 0.2168
0.5000 0.9729 0.9729
0.0000 0.2160 0.2160
0.5000 0.5499 0.8840
0.5000 0.8840 0.5499
```

Summary:
VASP energy (Ha/atom): -0.132
Space-group type: Amm2 (38)